Record 1
## TiBeRh (PBE)

Data for an optimized crystal structure of TiBeRh.

a = 2.852 Å, b = 4.379 Å, c = 6.492 Å
α = 90.00°, β = 90.00°, γ = 90.00°
Atoms (fractional coordinates):
Ti (0.000, 0.000, 0.000)
Ti (0.500, 0.500, 0.500)
Be (0.000, 0.500, 0.182)
Be (0.500, 0.000, 0.682)
Rh (0.000, 0.000, 0.383)
Rh (0.500, 0.500, 0.883)

Output
distance to the lowest polymorph of the same formula = 234 meV/atom
space-group type = Imm2, No. 44
Fermi-level density of states = 0.744 states/eV/atom
density = 6545 kg/m³
M_tot = 0.00 μB per formula unit


Record 2
## Y2AlRh3 (PBE)

Data for an optimized crystal structure of Y2AlRh3.

a = 5.117 Å, b = 5.117 Å, c = 5.117 Å
α = 66.92°, β = 66.92°, γ = 66.92°
Atoms (fractional coordinates):
Y (0.131, 0.131, 0.131)
Y (0.869, 0.869, 0.869)
Al (0.500, 0.500, 0.500)
Rh (0.000, 0.500, 0.500)
Rh (0.500, 0.000, 0.500)
Rh (0.500, 0.500, 0.000)

Output
space-group type = R-3m, No. 166
Fermi-level density of states = 0.528 states/eV/atom
density = 7839 kg/m³
M_tot = 0.00 μB per formula unit


Record 3
## TbCe3Au4 (PBE)

Data for an optimized crystal structure of TbCe3Au4.

a = 3.626 Å, b = 3.626 Å, c = 15.074 Å
α = 90.00°, β = 90.00°, γ = 90.00°
Atoms (fractional coordinates):
Tb (0.000, 0.000, 0.000)
Ce (0.000, 0.000, 0.248)
Ce (0.000, 0.000, 0.500)
Ce (0.000, 0.000, 0.752)
Au (0.500, 0.500, 0.115)
Au (0.500, 0.500, 0.375)
Au (0.500, 0.500, 0.625)
Au (0.500, 0.500, 0.885)

Output
space-group type = P4/mmm, No. 123
Fermi-level density of states = 2.674 states/eV/atom
density = 11457 kg/m³
M_tot = 3.29 μB per formula unit


Record 4
## TaW2I (PBE)

Data for an optimized crystal structure of TaW2I.

a = 6.626 Å, b = 6.626 Å, c = 6.626 Å
α = 90.00°, β = 90.00°, γ = 90.00°
Atoms (fractional coordinates):
Ta (0.000, 0.000, 0.000)
Ta (0.000, 0.500, 0.500)
Ta (0.500, 0.000, 0.500)
Ta (0.500, 0.500, 0.000)
W (0.250, 0.250, 0.250)
W (0.250, 0.250, 0.750)
W (0.250, 0.750, 0.250)
W (0.250, 0.750, 0.750)
W (0.750, 0.250, 0.250)
W (0.750, 0.250, 0.750)
W (0.750, 0.750, 0.250)
W (0.750, 0.750, 0.750)
I (0.000, 0.000, 0.500)
I (0.000, 0.500, 0.000)
I (0.500, 0.000, 0.000)
I (0.500, 0.500, 0.500)

Output
distance to the lowest polymorph of the same formula = 0 meV/atom
raw formation energy = 1.097 eV per atom
space-group type = Fm-3m, No. 225
Fermi-level density of states = 0.757 states/eV/atom
density = 15421 kg/m³
M_tot = 0.00 μB per formula unit


Record 5
## RbSr2LiAu (PBE)

Data for an optimized crystal structure of RbSr2LiAu.

a = 6.200 Å, b = 6.200 Å, c = 5.641 Å
α = 90.00°, β = 90.00°, γ = 90.00°
Atoms (fractional coordinates):
Rb (0.000, 0.000, 0.000)
Sr (0.000, 0.500, 0.500)
Sr (0.500, 0.000, 0.500)
Li (0.500, 0.500, 0.000)
Au (0.500, 0.500, 0.500)

Output
distance to the lowest polymorph of the same formula = 0 meV/atom
space-group type = P4/mmm, No. 123
Fermi-level density of states = 0.679 states/eV/atom
density = 3558 kg/m³
M_tot = 0.00 μB per formula unit


Record 6
## Gd2DyV (PBE)

Data for an optimized crystal structure of Gd2DyV.

a = 3.455 Å, b = 3.455 Å, c = 31.936 Å
α = 90.00°, β = 90.00°, γ = 120.00°
Atoms (fractional coordinates):
Gd (0.000, 0.000, 0.238)
Gd (0.000, 0.000, 0.762)
Gd (0.333, 0.667, 0.429)
Gd (0.333, 0.667, 0.905)
Gd (0.667, 0.333, 0.095)
Gd (0.667, 0.333, 0.571)
Dy (0.000, 0.000, 0.000)
Dy (0.333, 0.667, 0.667)
Dy (0.667, 0.333, 0.333)
V (0.000, 0.000, 0.500)
V (0.333, 0.667, 0.167)
V (0.667, 0.333, 0.833)

Output
space-group type = R-3m, No. 166
Fermi-level density of states = 1.309 states/eV/atom
density = 7964 kg/m³
M_tot = 12.00 μB per formula unit


Computed raw total energy (eV/cell) in order:
-40.0, -44.2, -40.8, -139.7, -10.5, -121.6